[1]
Density functional theory data (PBE) for crystalline SrLa2Se at its relaxed geometry.

Properties
- uncorrected formation energy (eV/atom) = -0.7392
- space group = Cmm2
- VASP energy (eV/atom) = -4.49

a = 3.7828 Å, b = 3.7828 Å, c = 9.6052 Å
α = 90.00°, β = 90.00°, γ = 90.13°
With the nearest neighbours (Å) after each atom.
Fractional positions:
Sr 0.0000 0.0000 0.0000  4 Se 3.31
La 0.0000 0.0000 0.6106  4 Se 3.21-3.22
La 0.5000 0.5000 0.3243  8 La 3.78-3.84, 4 Sr 4.10-4.11
Se 0.5000 0.5000 0.7967  4 La 3.21-3.22, 4 Sr 3.31

***

[2]
Density functional theory data (PBE) for crystalline Sr2LaSe at its relaxed geometry.

Properties
- uncorrected formation energy (eV/atom) = -0.7456
- space group = Amm2
- VASP energy (eV/atom) = -3.69

a = 4.0064 Å, b = 10.2402 Å, c = 10.2402 Å
α = 23.00°, β = 90.00°, γ = 90.00°
With the nearest neighbours (Å) after each atom.
Fractional positions:
Sr 0.0000 0.0000 0.0000  4 Se 3.16
Sr 0.5000 0.3319 0.3319  8 Sr 4.01-4.42, 4 La 4.17
La 0.0000 0.6809 0.6809  2 Se 3.03
Se 0.5000 0.5675 0.5675  2 La 3.03, 4 Sr 3.16